The following is a PBE-GGA calculation of crystalline KP2S2 at its relaxed geometry, from the Alexandria database.

Properties
M_tot = 3.00 μB per cell
Formation energy without anion corrections = 41.9 kcal/mol of atoms
D(E_F) = 5.6 states/eV/cell

```
data_KP2S2
_chemical_formula_sum 'K1 P2 S2'
_cell_length_a 5.990
_cell_length_b 5.990
_cell_length_c 6.509
_cell_angle_alpha 90.00
_cell_angle_beta 90.00
_cell_angle_gamma 90.00
_space_group_name_H-M_alt 'P 4/m m m'
_space_group_IT_number 123
_space_group_name_Hall '-P 4 2'
loop_
_atom_site_label
_atom_site_type_symbol
_atom_site_fract_x
_atom_site_fract_y
_atom_site_fract_z
K1 K 0.000 0.000 0.000
P1 P 0.000 0.000 0.500
P2 P 0.500 0.500 0.500
S1 S 0.000 0.500 0.000
```

***

The following is a PBE-GGA calculation of crystalline Ba3TaH at its relaxed geometry, from the Alexandria database.

Properties
E_tot = -0.2607 Ry/atom
M_tot = 0.00 μB per cell
D(E_F) = 8.6 states/eV/cell

```
data_Ba3TaH
_chemical_formula_sum 'Ba3 Ta1 H1'
_cell_length_a 5.429
_cell_length_b 5.429
_cell_length_c 5.429
_cell_angle_alpha 90.00
_cell_angle_beta 90.00
_cell_angle_gamma 90.00
_space_group_name_H-M_alt 'P m -3 m'
_space_group_IT_number 221
_space_group_name_Hall '-P 4 2 3'
loop_
_atom_site_label
_atom_site_type_symbol
_atom_site_fract_x
_atom_site_fract_y
_atom_site_fract_z
Ba1 Ba 0.000 0.000 0.500
Ta1 Ta 0.500 0.500 0.500
H1 H 0.000 0.000 0.000
```

***

The following is a PBE-GGA calculation of crystalline Er6Sb2Te3Se at its relaxed geometry, from the Alexandria database.

Properties
M_tot = 0.00 μB per cell
Formation energy without anion corrections = -29.7 kcal/mol of atoms
D(E_F) = 8.0 states/eV/cell

```
data_Er6Sb2Te3Se
_chemical_formula_sum 'Er12 Sb4 Te6 Se2'
_cell_length_a 18.793
_cell_length_b 4.282
_cell_length_c 8.589
_cell_angle_alpha 90.00
_cell_angle_beta 103.88
_cell_angle_gamma 90.00
_space_group_name_H-M_alt 'C 1 2/m 1'
_space_group_IT_number 12
_space_group_name_Hall '-C 2y'
loop_
_atom_site_label
_atom_site_type_symbol
_atom_site_fract_x
_atom_site_fract_y
_atom_site_fract_z
Er1 Er 0.001 0.000 0.223
Er2 Er 0.154 0.500 0.081
Er3 Er 0.168 0.500 0.576
Sb1 Sb 0.166 0.000 0.331
Te1 Te 0.000 0.500 0.500
Te2 Te 0.170 0.000 0.835
Se1 Se 0.000 0.500 0.000
```

***

The following is a PBE-GGA calculation of crystalline RbDyGe2O6 at its relaxed geometry, from the Alexandria database.

Properties
M_tot = 0.00 μB per cell
Formation energy without anion corrections = -48.6 kcal/mol of atoms
D(E_F) = 0.0 states/eV/cell

```
data_RbDyGe2O6
_chemical_formula_sum 'Rb4 Dy4 Ge8 O24'
_cell_length_a 10.486
_cell_length_b 11.085
_cell_length_c 5.407
_cell_angle_alpha 90.00
_cell_angle_beta 96.03
_cell_angle_gamma 90.00
_space_group_name_H-M_alt 'C 1 2/c 1'
_space_group_IT_number 15
_space_group_name_Hall '-C 2yc'
loop_
_atom_site_label
_atom_site_type_symbol
_atom_site_fract_x
_atom_site_fract_y
_atom_site_fract_z
Rb1 Rb 0.000 0.092 0.250
Dy1 Dy 0.000 0.283 0.750
Ge1 Ge 0.205 0.416 0.267
O1 O 0.103 0.315 0.111
O2 O 0.134 0.127 0.712
O3 O 0.170 0.440 0.594
```

***

The following is a PBE-GGA calculation of crystalline Y2Mg3Pt4 at its relaxed geometry, from the Alexandria database.

Properties
E_tot = -0.4143 Ry/atom
M_tot = 0.00 μB per cell
D(E_F) = 6.7 states/eV/cell

```
data_Y2Mg3Pt4
_chemical_formula_sum 'Y4 Mg6 Pt8'
_cell_length_a 7.305
_cell_length_b 7.291
_cell_length_c 7.153
_cell_angle_alpha 90.00
_cell_angle_beta 110.25
_cell_angle_gamma 90.00
_space_group_name_H-M_alt 'P 1 21/c 1'
_space_group_IT_number 14
_space_group_name_Hall '-P 2ybc'
loop_
_atom_site_label
_atom_site_type_symbol
_atom_site_fract_x
_atom_site_fract_y
_atom_site_fract_z
Y1 Y 0.191 0.174 0.055
Mg1 Mg 0.254 0.669 0.246
Mg2 Mg 0.500 0.000 0.500
Pt1 Pt 0.076 0.538 0.845
Pt2 Pt 0.489 0.136 0.864
```

***

The following is a PBE-GGA calculation of crystalline TeP2PbCl at its relaxed geometry, from the Alexandria database.

Properties
M_tot = 0.47 μB per cell
Formation energy without anion corrections = 19.3 kcal/mol of atoms
D(E_F) = 4.4 states/eV/cell

```
data_TeP2PbCl
_chemical_formula_sum 'Te1 P2 Pb1 Cl1'
_cell_length_a 5.435
_cell_length_b 5.435
_cell_length_c 5.189
_cell_angle_alpha 90.00
_cell_angle_beta 90.00
_cell_angle_gamma 90.00
_space_group_name_H-M_alt 'P 4/m m m'
_space_group_IT_number 123
_space_group_name_Hall '-P 4 2'
loop_
_atom_site_label
_atom_site_type_symbol
_atom_site_fract_x
_atom_site_fract_y
_atom_site_fract_z
Te1 Te 0.000 0.000 0.000
P1 P 0.000 0.500 0.500
Pb1 Pb 0.500 0.500 0.500
Cl1 Cl 0.500 0.500 0.000
```

***

The following is a PBE-GGA calculation of crystalline Li2CaLaPd at its relaxed geometry, from the Alexandria database.

Properties
E_tot = -0.2423 Ry/atom
M_tot = 0.00 μB per cell
D(E_F) = 4.4 states/eV/cell

```
data_Li2CaLaPd
_chemical_formula_sum 'Li2 Ca1 La1 Pd1'
_cell_length_a 5.204
_cell_length_b 5.204
_cell_length_c 5.401
_cell_angle_alpha 90.00
_cell_angle_beta 90.00
_cell_angle_gamma 90.00
_space_group_name_H-M_alt 'P 4/m m m'
_space_group_IT_number 123
_space_group_name_Hall '-P 4 2'
loop_
_atom_site_label
_atom_site_type_symbol
_atom_site_fract_x
_atom_site_fract_y
_atom_site_fract_z
Li1 Li 0.000 0.500 0.000
Ca1 Ca 0.000 0.000 0.500
La1 La 0.500 0.500 0.500
Pd1 Pd 0.500 0.500 0.000
```

***

The following is a PBE-GGA calculation of crystalline Ba2TeBr at its relaxed geometry, from the Alexandria database.

Properties
M_tot = 1.68 μB per cell
Formation energy without anion corrections = -36.2 kcal/mol of atoms
D(E_F) = 5.6 states/eV/cell

```
data_Ba2TeBr
_chemical_formula_sum 'Ba4 Te2 Br2'
_cell_length_a 4.490
_cell_length_b 4.581
_cell_length_c 16.222
_cell_angle_alpha 90.00
_cell_angle_beta 90.00
_cell_angle_gamma 90.00
_space_group_name_H-M_alt 'I m m 2'
_space_group_IT_number 44
_space_group_name_Hall 'I 2 -2'
loop_
_atom_site_label
_atom_site_type_symbol
_atom_site_fract_x
_atom_site_fract_y
_atom_site_fract_z
Ba1 Ba 0.000 0.000 0.000
Ba2 Ba 0.000 0.500 0.251
Te1 Te 0.000 0.000 0.591
Br1 Br 0.000 0.500 0.834
```

***

The following is a PBE-GGA calculation of crystalline PuCdPd2 at its relaxed geometry, from the Alexandria database.

Properties
E_tot = -0.4863 Ry/atom
M_tot = 5.74 μB per cell
D(E_F) = 9.4 states/eV/cell

```
data_PuCdPd2
_chemical_formula_sum 'Pu1 Cd1 Pd2'
_cell_length_a 5.349
_cell_length_b 5.349
_cell_length_c 2.921
_cell_angle_alpha 90.00
_cell_angle_beta 90.00
_cell_angle_gamma 90.00
_space_group_name_H-M_alt 'P 4/m m m'
_space_group_IT_number 123
_space_group_name_Hall '-P 4 2'
loop_
_atom_site_label
_atom_site_type_symbol
_atom_site_fract_x
_atom_site_fract_y
_atom_site_fract_z
Pu1 Pu 0.000 0.000 0.000
Cd1 Cd 0.500 0.500 0.500
Pd1 Pd 0.000 0.500 0.500
```

***

The following is a PBE-GGA calculation of crystalline Tm2InGe2Rh5 at its relaxed geometry, from the Alexandria database.

Properties
E_tot = -0.4845 Ry/atom
M_tot = 0.00 μB per cell
D(E_F) = 7.3 states/eV/cell

```
data_Tm2InGe2Rh5
_chemical_formula_sum 'Tm4 In2 Ge4 Rh10'
_cell_length_a 9.777
_cell_length_b 9.777
_cell_length_c 3.607
_cell_angle_alpha 90.00
_cell_angle_beta 90.00
_cell_angle_gamma 90.00
_space_group_name_H-M_alt 'P 4/m b m'
_space_group_IT_number 127
_space_group_name_Hall '-P 4 2ab'
loop_
_atom_site_label
_atom_site_type_symbol
_atom_site_fract_x
_atom_site_fract_y
_atom_site_fract_z
Tm1 Tm 0.174 0.326 0.000
In1 In 0.000 0.000 0.000
Ge1 Ge 0.124 0.624 0.000
Rh1 Rh 0.000 0.500 0.500
Rh2 Rh 0.070 0.788 0.500
```

***

The following is a PBE-GGA calculation of crystalline Sr3YTh2As6 at its relaxed geometry, from the Alexandria database.

Properties
E_tot = -0.4281 Ry/atom
M_tot = 0.00 μB per cell
D(E_F) = 19.0 states/eV/cell

```
data_Sr3YTh2As6
_chemical_formula_sum 'Sr6 Y2 Th4 As12'
_cell_length_a 7.501
_cell_length_b 12.998
_cell_length_c 7.632
_cell_angle_alpha 90.00
_cell_angle_beta 109.14
_cell_angle_gamma 90.00
_space_group_name_H-M_alt 'C 1 2/m 1'
_space_group_IT_number 12
_space_group_name_Hall '-C 2y'
loop_
_atom_site_label
_atom_site_type_symbol
_atom_site_fract_x
_atom_site_fract_y
_atom_site_fract_z
Sr1 Sr 0.000 0.000 0.000
Sr2 Sr 0.000 0.333 0.000
Y1 Y 0.000 0.500 0.500
Th1 Th 0.000 0.167 0.500
As1 As 0.241 0.334 0.726
As2 As 0.244 0.000 0.727
```

***

The following is a PBE-GGA calculation of crystalline Sc4CdAu3 at its relaxed geometry, from the Alexandria database.

Properties
E_tot = -0.3805 Ry/atom
M_tot = 0.00 μB per cell
D(E_F) = 6.5 states/eV/cell

```
data_Sc4CdAu3
_chemical_formula_sum 'Sc4 Cd1 Au3'
_cell_length_a 4.861
_cell_length_b 4.861
_cell_length_c 6.851
_cell_angle_alpha 90.00
_cell_angle_beta 90.00
_cell_angle_gamma 90.00
_space_group_name_H-M_alt 'P 4/m m m'
_space_group_IT_number 123
_space_group_name_Hall '-P 4 2'
loop_
_atom_site_label
_atom_site_type_symbol
_atom_site_fract_x
_atom_site_fract_y
_atom_site_fract_z
Sc1 Sc 0.000 0.500 0.242
Cd1 Cd 0.000 0.000 0.500
Au1 Au 0.000 0.000 0.000
Au2 Au 0.500 0.500 0.000
Au3 Au 0.500 0.500 0.500
```

***

The following is a PBE-GGA calculation of crystalline Ba2LiCd3Sn4 at its relaxed geometry, from the Alexandria database.

Properties
E_tot = -0.2127 Ry/atom
M_tot = 0.00 μB per cell
D(E_F) = 4.2 states/eV/cell

```
data_Ba2LiCd3Sn4
_chemical_formula_sum 'Ba2 Li1 Cd3 Sn4'
_cell_length_a 4.910
_cell_length_b 4.910
_cell_length_c 12.250
_cell_angle_alpha 90.00
_cell_angle_beta 90.00
_cell_angle_gamma 90.00
_space_group_name_H-M_alt 'P -4 m 2'
_space_group_IT_number 115
_space_group_name_Hall 'P -4 -2'
loop_
_atom_site_label
_atom_site_type_symbol
_atom_site_fract_x
_atom_site_fract_y
_atom_site_fract_z
Ba1 Ba 0.000 0.500 0.243
Li1 Li 0.500 0.500 0.000
Cd1 Cd 0.000 0.000 0.000
Cd2 Cd 0.000 0.500 0.642
Sn1 Sn 0.000 0.000 0.500
Sn2 Sn 0.000 0.500 0.872
Sn3 Sn 0.500 0.500 0.500
```

***

The following is a PBE-GGA calculation of crystalline TmInGe at its relaxed geometry, from the Alexandria database.

Properties
E_tot = -0.3175 Ry/atom
M_tot = 0.00 μB per cell
D(E_F) = 0.4 states/eV/cell

```
data_TmInGe
_chemical_formula_sum 'Tm1 In1 Ge1'
_cell_length_a 4.2727
_cell_length_b 4.2727
_cell_length_c 4.6697
_cell_angle_alpha 90.00
_cell_angle_beta 90.00
_cell_angle_gamma 120.00
_space_group_name_H-M_alt 'P 3 m 1'
_space_group_IT_number 156
_space_group_name_Hall 'P 3 -2"'
loop_
_atom_site_label
_atom_site_type_symbol
_atom_site_fract_x
_atom_site_fract_y
_atom_site_fract_z
Tm1 Tm 0.0000 0.0000 0.0000
In1 In 0.3333 0.6667 0.5694
Ge1 Ge 0.6667 0.3333 0.3110
```

***

The following is a PBE-GGA calculation of crystalline AgSbTe2 at its relaxed geometry, from the Alexandria database.

Properties
M_tot = 0.00 μB per cell
Formation energy without anion corrections = -0.5 kcal/mol of atoms

```
data_AgSbTe2
_chemical_formula_sum 'Ag4 Sb4 Te8'
_cell_length_a 9.024
_cell_length_b 8.915
_cell_length_c 6.963
_cell_angle_alpha 90.00
_cell_angle_beta 90.00
_cell_angle_gamma 90.00
_space_group_name_H-M_alt 'P n a 21'
_space_group_IT_number 33
_space_group_name_Hall 'P 2c -2n'
loop_
_atom_site_label
_atom_site_type_symbol
_atom_site_fract_x
_atom_site_fract_y
_atom_site_fract_z
Ag1 Ag 0.080 0.119 0.000
Sb1 Sb 0.129 0.583 0.007
Te1 Te 0.043 0.162 0.601
Te2 Te 0.118 0.645 0.600
```

***

The following is a PBE-GGA calculation of crystalline MoIrPt3 at its relaxed geometry, from the Alexandria database.

Properties
E_tot = -0.4361 Ry/atom
M_tot = 2.66 μB per cell
D(E_F) = 7.9 states/eV/cell

```
data_MoIrPt3
_chemical_formula_sum 'Mo1 Ir1 Pt3'
_cell_length_a 4.816
_cell_length_b 4.816
_cell_length_c 4.816
_cell_angle_alpha 90.00
_cell_angle_beta 90.00
_cell_angle_gamma 90.00
_space_group_name_H-M_alt 'P m -3 m'
_space_group_IT_number 221
_space_group_name_Hall '-P 4 2 3'
loop_
_atom_site_label
_atom_site_type_symbol
_atom_site_fract_x
_atom_site_fract_y
_atom_site_fract_z
Mo1 Mo 0.000 0.000 0.000
Ir1 Ir 0.500 0.500 0.500
Pt1 Pt 0.000 0.500 0.500
```

***

The following is a PBE-GGA calculation of crystalline YSbI2Cl at its relaxed geometry, from the Alexandria database.

Properties
M_tot = 1.09 μB per cell
Formation energy without anion corrections = -9.5 kcal/mol of atoms
D(E_F) = 3.3 states/eV/cell

```
data_YSbI2Cl
_chemical_formula_sum 'Y1 Sb1 I2 Cl1'
_cell_length_a 5.823
_cell_length_b 5.823
_cell_length_c 6.343
_cell_angle_alpha 90.00
_cell_angle_beta 90.00
_cell_angle_gamma 90.00
_space_group_name_H-M_alt 'P 4/m m m'
_space_group_IT_number 123
_space_group_name_Hall '-P 4 2'
loop_
_atom_site_label
_atom_site_type_symbol
_atom_site_fract_x
_atom_site_fract_y
_atom_site_fract_z
Y1 Y 0.000 0.000 0.000
Sb1 Sb 0.000 0.000 0.500
I1 I 0.000 0.500 0.000
Cl1 Cl 0.500 0.500 0.500
```

***

The following is a PBE-GGA calculation of crystalline Be3GeF at its relaxed geometry, from the Alexandria database.

Properties
M_tot = 0.00 μB per cell
Formation energy without anion corrections = 3.2 kcal/mol of atoms
D(E_F) = 0.5 states/eV/cell

```
data_Be3GeF
_chemical_formula_sum 'Be3 Ge1 F1'
_cell_length_a 3.803
_cell_length_b 3.803
_cell_length_c 3.803
_cell_angle_alpha 90.00
_cell_angle_beta 90.00
_cell_angle_gamma 90.00
_space_group_name_H-M_alt 'P m -3 m'
_space_group_IT_number 221
_space_group_name_Hall '-P 4 2 3'
loop_
_atom_site_label
_atom_site_type_symbol
_atom_site_fract_x
_atom_site_fract_y
_atom_site_fract_z
Be1 Be 0.000 0.000 0.500
Ge1 Ge 0.500 0.500 0.500
F1 F 0.000 0.000 0.000
```

***

The following is a PBE-GGA calculation of crystalline NaTh4In5 at its relaxed geometry, from the Alexandria database.

Properties
E_tot = -0.3459 Ry/atom
M_tot = 0.00 μB per cell
D(E_F) = 9.6 states/eV/cell

```
data_NaTh4In5
_chemical_formula_sum 'Na1 Th4 In5'
_cell_length_a 3.511
_cell_length_b 3.511
_cell_length_c 23.032
_cell_angle_alpha 90.00
_cell_angle_beta 90.00
_cell_angle_gamma 90.00
_space_group_name_H-M_alt 'P 4/m m m'
_space_group_IT_number 123
_space_group_name_Hall '-P 4 2'
loop_
_atom_site_label
_atom_site_type_symbol
_atom_site_fract_x
_atom_site_fract_y
_atom_site_fract_z
Na1 Na 0.000 0.000 0.000
Th1 Th 0.000 0.000 0.197
Th2 Th 0.000 0.000 0.399
In1 In 0.500 0.500 0.097
In2 In 0.500 0.500 0.298
In3 In 0.500 0.500 0.500
```

***

The following is a PBE-GGA calculation of crystalline Hf2Ge2Pd at its relaxed geometry, from the Alexandria database.

Properties
E_tot = -0.5554 Ry/atom
M_tot = 0.00 μB per cell
D(E_F) = 9.0 states/eV/cell

```
data_Hf2Ge2Pd
_chemical_formula_sum 'Hf8 Ge8 Pd4'
_cell_length_a 10.363
_cell_length_b 4.017
_cell_length_c 9.626
_cell_angle_alpha 90.00
_cell_angle_beta 117.40
_cell_angle_gamma 90.00
_space_group_name_H-M_alt 'C 1 2/m 1'
_space_group_IT_number 12
_space_group_name_Hall '-C 2y'
loop_
_atom_site_label
_atom_site_type_symbol
_atom_site_fract_x
_atom_site_fract_y
_atom_site_fract_z
Hf1 Hf 0.011 0.000 0.183
Hf2 Hf 0.190 0.000 0.601
Ge1 Ge 0.035 0.500 0.388
Ge2 Ge 0.135 0.500 0.071
Pd1 Pd 0.211 0.500 0.852
```